Entry from Alexandria: an optimized crystal structure of Cu2NiP (PBE).

Unit cell a=3.8407 b=3.8407 c=4.4850 alpha=115.50 beta=115.50 gamma=59.25
With the nearest neighbours (Å) after each atom.
Sites, in units of the cell vectors:
Cu: 0.0000 0.0000 0.0000  3 P 2.48-2.53, 4 Cu 2.53-2.66, 4 Ni 2.57-2.58
Cu: 0.2251 0.2251 0.6820  3 P 2.41-2.65, 4 Cu 2.53-2.66, 3 Ni 2.58-2.59
Ni: 0.7798 0.7798 0.3369  3 P 2.21-2.22
P: 0.4355 0.4355 0.2997  3 Ni 2.21-2.22, 1 Cu 2.41

Values from the calculation:
ΔH_f (0 K): -12.3 kJ/mol of atoms
DFT total energy: -4.9734 eV per atom
SG: No. 8